Density functional theory data (PBE+U) for a relaxed VGaOF2 crystal.

```
VGaOF2
1.0
4.192 0.000 0.000
0.000 4.192 0.000
0.000 0.000 3.817
F O Ga V
2 1 1 1
Cartesian
2.096 0.000 0.000 F
0.000 2.096 0.000 F
0.000 0.000 1.908 O
2.096 2.096 1.908 Ga
0.000 0.000 0.000 V
```

Output
For the density of states at the Fermi level, the calculation gives 0.76 states/eV/cell. The value obtained for the total energy is -28.91 eV for the cell shown.